[1]
Entry from the Open Quantum Materials Database: a relaxed MgBeTc2 crystal (PBE).

Computed properties:
Its total DFT energy (no corrections) is -6.48 eV per atom. The total moment is 0.0001 μB per atom.

Cell lengths 6.0169, 6.0169, 6.0169 Å; angles 90.00, 90.00, 90.00 degrees
Closest atoms and distances in Å follow each position.
Space group F-43m (No. 216)
Symmetry-distinct sites (fractional):
1 Mg 0.0000 0.0000 0.0000 x4  4 Tc 2.61, 4 Be 2.61
2 Be 0.2500 0.2500 0.7500 x4  4 Tc 2.61, 4 Mg 2.61
3 Tc 0.0000 0.0000 0.5000 x4  4 Be 2.61, 4 Tc 2.61
4 Tc 0.2500 0.2500 0.2500 x4  4 Tc 2.61, 4 Mg 2.61

[2]
Entry from the Open Quantum Materials Database: a relaxed TmMgBe crystal (PBE).

Computed properties:
The offset from the most stable computed form comes out at 0.0 meV/atom. The total moment is 0.0031 μB per atom.

Cell lengths 6.5114, 6.5114, 6.5114 Å; angles 90.00, 90.00, 90.00 degrees
Closest atoms and distances in Å follow each position.
Space group F-43m (No. 216)
Symmetry-distinct sites (fractional):
1 Tm 0.0000 0.0000 0.0000 x4  4 Mg 2.82
2 Mg 0.2500 0.2500 0.7500 x4  4 Be 2.82, 4 Tm 2.82
3 Be 0.0000 0.0000 0.5000 x4  4 Mg 2.82

[3]
Entry from the Open Quantum Materials Database: a relaxed TmMgBe crystal (PBE).

Computed properties:
The offset from the most stable computed form comes out at 204.1 meV/atom. The total moment is 0.0336 μB per atom.

Cell lengths 6.7148, 6.7148, 6.7148 Å; angles 90.00, 90.00, 90.00 degrees
Closest atoms and distances in Å follow each position.
Space group F-43m (No. 216)
Symmetry-distinct sites (fractional):
1 Tm 0.0000 0.0000 0.0000 x4  4 Be 2.91, 4 Mg 2.91
2 Mg 0.2500 0.2500 0.2500 x4  4 Tm 2.91
3 Be 0.2500 0.2500 0.7500 x4  4 Tm 2.91

[4]
Entry from the Open Quantum Materials Database: a relaxed Mg2BeZn crystal (PBE).

Computed properties:
Its total DFT energy (no corrections) is -1.77 eV per atom.

Cell lengths 6.3452, 6.3452, 6.3452 Å; angles 90.00, 90.00, 90.00 degrees
Closest atoms and distances in Å follow each position.
Space group F-43m (No. 216)
Symmetry-distinct sites (fractional):
1 Mg 0.0000 0.0000 0.0000 x4  4 Be 2.75, 4 Mg 2.75
2 Mg 0.2500 0.2500 0.2500 x4  4 Mg 2.75, 4 Zn 2.75
3 Be 0.2500 0.2500 0.7500 x4  4 Mg 2.75, 4 Zn 2.75
4 Zn 0.0000 0.0000 0.5000 x4  4 Be 2.75, 4 Mg 2.75